4
Lattice="3.0703 0.0000 0.0000 0.0000 3.8163 0.0000 -1.4585 0.0000 5.8169" Properties=species:S:1:pos:R:3 comment="Al2SiAg (PBE, optimized geometry)" total_energy_ev_per_cell=-15.20 formation_energy_uncorrected_ev_per_atom=0.139 spacegroup=Pm pbc="T T T"
Al 0.0000 0.0000 0.0000
Al 0.0790 1.9081 4.1574
Si 1.5410 1.9081 0.9604
Ag 1.6034 0.0000 2.9308

4
Lattice="1.4941 0.8626 8.7314 -1.4941 0.8626 8.7314 0.0000 -1.7252 8.7314" Properties=species:S:1:pos:R:3 comment="AlSiAg2 (PBE, optimized geometry)" total_energy_ev_per_cell=-14.23 formation_energy_uncorrected_ev_per_atom=0.161 spacegroup=R-3m pbc="T T T"
Al 0.0000 0.0000 0.0000
Si 0.0000 0.0000 13.0972
Ag 0.0000 0.0000 6.5490
Ag 0.0000 0.0000 19.6453